Material: YCrFe
Method: DFT, PBE
State: relaxed

Structure (extended XYZ):
```
3
Lattice="-3.5699 -0.4220 1.0524 2.7605 -1.2744 2.1875 0.1544 3.9571 2.1104" Properties=species:S:1:pos:R:3 pbc="T T T"
Cr 0.0257 0.6575 0.3507
Y 0.7533 1.6472 3.2158
Fe -1.4339 -0.0440 1.7839
```

Summary:
relative energy among the computed polymorphs	0.0000	eV per atom
space group	No. 156
ΔE_f	0.177	eV/atom
total moment	0.00	μB/cell